1.
First-principles (PBE-GGA) data for crystalline Cs2PmPrSe4 at its relaxed geometry, as listed in Alexandria via LeMat-Bulk.

a = 7.6304 Å, b = 4.4046 Å, c = 8.7860 Å
α = 90.00°, β = 106.80°, γ = 90.00°
Positions (direct):
Cs 0.0000 0.0000 0.0000
Cs 0.5000 0.5000 0.0000
Pm 0.0000 0.5000 0.5000
Pr 0.5000 0.0000 0.5000
Se 0.2268 0.0000 0.6899
Se 0.2666 0.5000 0.3088
Se 0.7334 0.5000 0.6912
Se 0.7732 0.0000 0.3101

Summary:
E_tot   -39.0 eV for the cell shown
SG   No. 10
Formation energy from raw total energies   -1.729 eV/atom

***

2.
First-principles (PBE-GGA) data for crystalline La2GaPtO at its relaxed geometry, as listed in Alexandria via LeMat-Bulk.

a = 5.6458 Å, b = 5.6458 Å, c = 4.5111 Å
α = 90.00°, β = 90.00°, γ = 90.00°
Positions (direct):
La 0.0000 0.5000 0.0000
La 0.5000 0.0000 0.0000
Ga 0.0000 0.0000 0.0000
Pt 0.0000 0.0000 0.5000
O 0.5000 0.5000 0.5000

Summary:
E_tot   -25.0 eV for the cell shown
SG   No. 123
Formation energy from raw total energies   -0.216 eV/atom

***

3.
First-principles (PBE-GGA) data for crystalline CsLaTeH2 at its relaxed geometry, as listed in Alexandria via LeMat-Bulk.

a = 4.1167 Å, b = 4.1167 Å, c = 7.9277 Å
α = 90.00°, β = 90.00°, γ = 90.00°
Positions (direct):
Cs 0.0000 0.0000 0.0000
La 0.0000 0.0000 0.4629
Te 0.5000 0.5000 0.6700
H 0.0000 0.5000 0.3061
H 0.5000 0.0000 0.3061

Summary:
ΔE to the lowest computed polymorph   47 meV per atom
E_tot   -19.6 eV for the cell shown
SG   No. 99

***

4.
First-principles (PBE-GGA) data for crystalline In2Sn4Hg at its relaxed geometry, as listed in Alexandria via LeMat-Bulk.

a = 11.3885 Å, b = 11.3885 Å, c = 11.3885 Å
α = 158.22°, β = 158.22°, γ = 30.99°
Positions (direct):
In 0.0776 0.0776 0.0000
In 0.9224 0.9224 0.0000
Sn 0.2500 0.7500 0.5000
Sn 0.3633 0.3633 0.0000
Sn 0.6367 0.6367 0.0000
Sn 0.7500 0.2500 0.5000
Hg 0.5000 0.5000 0.0000

Summary:
Calculated formation energy   0.1027 eV per atom
ΔE to the lowest computed polymorph   30 meV per atom
E_tot   -21.1 eV for the cell shown
SG   No. 139

***

- E_tot of number 1 (Cs2PmPrSe4)?
  -39.0 eV for the cell shown

***

Please write out number 4 again, unchanged.
First-principles (PBE-GGA) data for crystalline In2Sn4Hg at its relaxed geometry, as listed in Alexandria via LeMat-Bulk.

a = 11.3885 Å, b = 11.3885 Å, c = 11.3885 Å
α = 158.22°, β = 158.22°, γ = 30.99°
Positions (direct):
In 0.0776 0.0776 0.0000
In 0.9224 0.9224 0.0000
Sn 0.2500 0.7500 0.5000
Sn 0.3633 0.3633 0.0000
Sn 0.6367 0.6367 0.0000
Sn 0.7500 0.2500 0.5000
Hg 0.5000 0.5000 0.0000

Summary:
Calculated formation energy   0.1027 eV per atom
ΔE to the lowest computed polymorph   30 meV per atom
E_tot   -21.1 eV for the cell shown
SG   No. 139